(1)
HgBRh2 | PBE-GGA | relaxed

Offset from the most stable computed form   0.011 eV per atom

Lattice parameters (Å, degrees): 3.1703 3.1703 20.1235 90.00 90.00 120.00
Closest atoms and distances in Å follow each position.
Space group R-3m (No. 166, hexagonal axes)
One atom of each set of equivalent atoms:
Hg 0.0000 0.0000 0.0000 (multiplicity 3)  6 Rh 2.91, 6 Hg 3.17
B 0.0000 0.0000 0.5000 (multiplicity 3)  6 Rh 2.13
Rh 0.0000 0.0000 0.2208 (multiplicity 6)  3 B 2.13


(2)
HgBRh2 | PBE-GGA | relaxed

Offset from the most stable computed form   0.820 eV per atom

Lattice parameters (Å, degrees): 6.1040 6.1040 6.1040 90.00 90.00 90.00
Closest atoms and distances in Å follow each position.
Space group Fm-3m (No. 225)
One atom of each set of equivalent atoms:
Hg 0.0000 0.0000 0.0000 (multiplicity 4)  8 Rh 2.64
B 0.0000 0.0000 0.5000 (multiplicity 4)  8 Rh 2.64
Rh 0.2500 0.2500 0.2500 (multiplicity 8)  4 Hg 2.64, 4 B 2.64


(3)
Sc2HgB2Rh5 | PBE-GGA | relaxed

Lattice parameters (Å, degrees): 9.5144 9.5144 3.1499 90.00 90.00 90.00
Closest atoms and distances in Å follow each position.
Space group P4/mbm (No. 127)
One atom of each set of equivalent atoms:
Sc 0.1748 0.3252 0.0000 (multiplicity 4)  3 B 2.71-2.88, 10 Rh 2.83-2.98
Hg 0.0000 0.0000 0.0000 (multiplicity 2)  8 Rh 2.75
B 0.1235 0.6235 0.0000 (multiplicity 4)  6 Rh 2.18-2.29
Rh 0.0000 0.5000 0.5000 (multiplicity 2)  4 B 2.29
Rh 0.0716 0.7739 0.5000 (multiplicity 8)  2 B 2.18


(4)
SiHg2BRh | PBE-GGA | relaxed

Raw formation energy   1.069 eV per atom

Lattice parameters (Å, degrees): 5.2522 5.2522 4.4454 90.00 90.00 90.00
Closest atoms and distances in Å follow each position.
Space group P4/mmm (No. 123)
One atom of each set of equivalent atoms:
Si 0.0000 0.0000 0.0000 (multiplicity 1)  2 Rh 2.22
Hg 0.0000 0.5000 0.5000 (multiplicity 2)  2 Rh 2.63
B 0.5000 0.5000 0.0000 (multiplicity 1)  8 Hg 3.44, 4 Si 3.71
Rh 0.0000 0.0000 0.5000 (multiplicity 1)  2 Si 2.22


(5)
SiHgB2Rh | PBE-GGA | relaxed

Raw formation energy   1.037 eV per atom

Lattice parameters (Å, degrees): 3.9911 3.9911 4.7524 90.00 90.00 90.00
Closest atoms and distances in Å follow each position.
Space group P4/mmm (No. 123)
One atom of each set of equivalent atoms:
Si 0.0000 0.0000 0.0000 (multiplicity 1)  4 B 2.00
Hg 0.5000 0.5000 0.5000 (multiplicity 1)  4 Rh 2.82, 8 B 3.10
B 0.0000 0.5000 0.0000 (multiplicity 2)  2 Si 2.00
Rh 0.0000 0.0000 0.5000 (multiplicity 1)  2 Si 2.38


(6)
Sm2Hg2BRh4 | PBE-GGA | relaxed

Lattice parameters (Å, degrees): 6.1296 6.1296 8.7501 90.00 90.00 90.00
Closest atoms and distances in Å follow each position.
Space group I4/mmm (No. 139)
One atom of each set of equivalent atoms:
Sm 0.0000 0.0000 0.2069 (multiplicity 4)  1 B 2.56
Hg 0.0000 0.5000 0.2500 (multiplicity 4)  8 Rh 3.08, 4 Sm 3.09
B 0.0000 0.0000 0.5000 (multiplicity 2)  4 Rh 2.06
Rh 0.2381 0.2381 0.5000 (multiplicity 8)  1 B 2.06


(7)
Sm3Hg2BRh3 | PBE-GGA | relaxed

Lattice parameters (Å, degrees): 7.7209 7.7209 3.5455 90.00 90.00 120.00
Closest atoms and distances in Å follow each position.
Space group P-62m (No. 189)
One atom of each set of equivalent atoms:
Sm 0.0000 0.3532 0.0000 (multiplicity 3)  1 B 2.73, 4 Rh 2.96
Hg 0.3333 0.6667 0.5000 (multiplicity 2)  6 Sm 3.07, 3 Rh 3.18
B 0.0000 0.0000 0.0000 (multiplicity 1)  6 Rh 2.38
Rh 0.0000 0.7936 0.5000 (multiplicity 3)  2 B 2.38


(8)
Y2HgBRh | PBE-GGA | relaxed

Lattice parameters (Å, degrees): 5.1366 5.1366 3.9882 90.00 90.00 90.00
Closest atoms and distances in Å follow each position.
Space group P4/mmm (No. 123)
One atom of each set of equivalent atoms:
Y 0.0000 0.5000 0.0000 (multiplicity 2)  2 B 2.57
Hg 0.0000 0.0000 0.5000 (multiplicity 1)  8 Y 3.25, 4 Rh 3.63
B 0.5000 0.5000 0.0000 (multiplicity 1)  2 Rh 1.99
Rh 0.5000 0.5000 0.5000 (multiplicity 1)  2 B 1.99


| no. | VASP energy (eV per atom) | total moment (μB/f.u.) |
| --- | --- | --- |
| 1 | -5.60 | 0.00 |
| 2 | -4.79 | 0.00 |
| 3 | -7.00 | 0.00 |
| 4 | -2.94 | 0.00 |
| 5 | -4.25 | 0.00 |
| 6 | -5.49 | 0.00 |
| 7 | -5.33 | 0.00 |
| 8 | -5.97 | 0.00 |